[1]
A plane-wave DFT calculation with PBE was carried out for an optimized crystal structure of HfTaMo2.

The value obtained for the formation energy from the elements is 2.99 eV per formula unit. The calculation puts the total energy at -10.120 eV/atom. Its density of states at the Fermi level is 3.8 states/eV/f.u. Its energy above the most stable polymorph in this dataset is 847 meV per atom.

Cell lengths 6.104, 6.104, 6.104 Å; angles 55.84, 153.22, 131.97 degrees
Atoms (fractional coordinates):
Hf (0.000, 0.000, 0.000)
Ta (0.000, 0.500, 0.500)
Mo (0.000, 0.256, 0.256)
Mo (0.000, 0.744, 0.744)



[2]
A plane-wave DFT calculation with PBE was carried out for an optimized crystal structure of Sm2Ga3Ge4.

The value obtained for the formation energy from the elements is -3.66 eV per formula unit. The calculation puts the total energy at -4.517 eV/atom. Its density of states at the Fermi level is 3.4 states/eV/f.u.

Cell lengths 6.143, 8.128, 8.044 Å; angles 90.00, 112.45, 90.00 degrees
Atoms (fractional coordinates):
Sm (0.117, 0.581, 0.234)
Sm (0.883, 0.419, 0.766)
Sm (0.383, 0.081, 0.766)
Sm (0.617, 0.919, 0.234)
Ga (0.000, 0.000, 0.000)
Ga (0.500, 0.500, 0.000)
Ga (0.535, 0.750, 0.571)
Ga (0.965, 0.250, 0.429)
Ga (0.465, 0.250, 0.429)
Ga (0.035, 0.750, 0.571)
Ge (0.706, 0.750, 0.913)
Ge (0.794, 0.250, 0.087)
Ge (0.294, 0.250, 0.087)
Ge (0.206, 0.750, 0.913)
Ge (0.186, 0.944, 0.373)
Ge (0.814, 0.056, 0.627)
Ge (0.314, 0.444, 0.627)
Ge (0.686, 0.556, 0.373)



[3]
A plane-wave DFT calculation with PBE was carried out for an optimized crystal structure of Cs4AlTe4.

The calculation puts the total energy at -3.088 eV/atom. Its density of states at the Fermi level is 10.9 states/eV/f.u. The uncorrected formation energy comes out at -778 kJ/mol of formula units.

Cell lengths 7.968, 10.766, 10.766 Å; angles 90.00, 90.00, 90.00 degrees
Last column: magnetic moment on the atom in μB.
Atoms (fractional coordinates):
Cs (0.332, 0.271, 0.000)  0.01
Cs (0.832, 0.500, 0.771)  0.01
Cs (0.332, 0.729, 0.000)  0.01
Cs (0.168, 0.229, 0.500)  0.01
Cs (0.668, 0.000, 0.729)  0.01
Cs (0.168, 0.771, 0.500)  0.01
Cs (0.832, 0.500, 0.229)  0.01
Cs (0.668, 0.000, 0.271)  0.01
Al (0.000, 0.000, 0.000)  -0.01
Al (0.500, 0.500, 0.500)  -0.01
Te (0.673, 0.710, 0.500)  0.14
Te (0.673, 0.290, 0.500)  0.14
Te (0.173, 0.000, 0.790)  0.14
Te (0.827, 0.210, 0.000)  0.14
Te (0.827, 0.790, 0.000)  0.14
Te (0.327, 0.500, 0.290)  0.14
Te (0.327, 0.500, 0.710)  0.14
Te (0.173, 0.000, 0.210)  0.14



[4]
A plane-wave DFT calculation with PBE was carried out for an optimized crystal structure of La2CdCl2.

The calculation puts the total energy at -4.110 eV/atom. Its density of states at the Fermi level is 4.8 states/eV/f.u. The uncorrected formation energy comes out at -587 kJ/mol of formula units.

Cell lengths 4.383, 4.383, 8.269 Å; angles 74.63, 74.63, 90.00 degrees
Atoms (fractional coordinates):
Cl (0.750, 0.250, 0.500)
Cl (0.250, 0.750, 0.500)
Cd (0.000, 0.000, 0.000)
La (0.379, 0.379, 0.243)
La (0.621, 0.621, 0.757)



[5]
A plane-wave DFT calculation with PBE was carried out for an optimized crystal structure of Rb2RuIO6.

The calculation puts the total energy at -5.104 eV/atom. Its density of states at the Fermi level is 3.0 states/eV/f.u. The uncorrected formation energy comes out at -823 kJ/mol of formula units.

Cell lengths 5.528, 5.529, 6.700 Å; angles 65.75, 65.73, 90.00 degrees
Atoms (fractional coordinates):
Rb (0.750, 0.249, 0.500)
Rb (0.250, 0.751, 0.500)
Ru (0.000, 0.000, 0.000)
I (0.500, 0.500, 0.000)
O (0.168, 0.170, 0.664)
O (0.828, 0.688, 0.997)
O (0.314, 0.826, 0.999)
O (0.686, 0.174, 0.001)
O (0.172, 0.312, 0.003)
O (0.832, 0.830, 0.336)



[6]
A plane-wave DFT calculation with PBE was carried out for an optimized crystal structure of Tb5Pm2Sn4.

The value obtained for the formation energy from the elements is -3.69 eV per formula unit. The calculation puts the total energy at -4.759 eV/atom. Its density of states at the Fermi level is 12.9 states/eV/f.u.

Cell lengths 3.604, 8.570, 11.707 Å; angles 78.72, 98.86, 90.00 degrees
Atoms (fractional coordinates):
Tb (0.055, 0.605, 0.111)
Tb (0.945, 0.395, 0.889)
Tb (0.201, 0.351, 0.403)
Tb (0.500, 0.000, 0.000)
Tb (0.799, 0.649, 0.597)
Pm (0.184, 0.943, 0.369)
Pm (0.816, 0.057, 0.631)
Sn (0.658, 0.662, 0.317)
Sn (0.926, 0.772, 0.851)
Sn (0.342, 0.338, 0.683)
Sn (0.074, 0.228, 0.149)



[7]
A plane-wave DFT calculation with PBE was carried out for an optimized crystal structure of Sm2Er3Sc.

The value obtained for the formation energy from the elements is 0.88 eV per formula unit. The calculation puts the total energy at -4.763 eV/atom. Its density of states at the Fermi level is 10.1 states/eV/f.u. Its energy above the most stable polymorph in this dataset is 109 meV per atom.

Cell lengths 3.433, 8.897, 12.769 Å; angles 78.23, 82.27, 78.88 degrees
Atoms (fractional coordinates):
Sm (0.821, 0.481, 0.878)
Sm (0.179, 0.519, 0.122)
Sm (0.654, 0.161, 0.531)
Sm (0.346, 0.839, 0.469)
Er (0.038, 0.138, 0.786)
Er (0.962, 0.862, 0.214)
Er (0.599, 0.829, 0.973)
Er (0.401, 0.171, 0.027)
Er (0.740, 0.814, 0.707)
Er (0.260, 0.186, 0.293)
Sc (0.437, 0.485, 0.641)
Sc (0.563, 0.515, 0.359)



[8]
A plane-wave DFT calculation with PBE was carried out for an optimized crystal structure of Tb2Er5Th.

The value obtained for the formation energy from the elements is 0.20 eV per formula unit. The calculation puts the total energy at -4.911 eV/atom. Its density of states at the Fermi level is 11.3 states/eV/f.u. Its energy above the most stable polymorph in this dataset is 9 meV per atom.

Cell lengths 5.000, 7.055, 14.140 Å; angles 90.00, 90.00, 90.00 degrees
Atoms (fractional coordinates):
Tb (0.500, 0.247, 0.624)
Tb (0.500, 0.753, 0.376)
Tb (0.500, 0.253, 0.124)
Tb (0.500, 0.747, 0.876)
Er (0.000, 0.000, 0.000)
Er (0.000, 0.500, 0.500)
Er (0.000, 0.502, 0.751)
Er (0.000, 0.498, 0.249)
Er (0.000, 0.998, 0.251)
Er (0.000, 0.002, 0.749)
Er (0.500, 0.256, 0.877)
Er (0.500, 0.744, 0.123)
Er (0.500, 0.244, 0.377)
Er (0.500, 0.756, 0.623)
Th (0.000, 0.000, 0.500)
Th (0.000, 0.500, 0.000)



[9]
A plane-wave DFT calculation with PBE was carried out for an optimized crystal structure of Tm4PdPt2.

The value obtained for the formation energy from the elements is -7.05 eV per formula unit. The calculation puts the total energy at -6.030 eV/atom. Its density of states at the Fermi level is 2.6 states/eV/f.u. Its energy above the most stable polymorph in this dataset is 42 meV per atom.

Cell lengths 4.456, 4.456, 10.254 Å; angles 77.45, 77.45, 60.00 degrees
Atoms (fractional coordinates):
Tm (0.380, 0.380, 0.859)
Tm (0.203, 0.203, 0.392)
Tm (0.797, 0.797, 0.608)
Tm (0.620, 0.620, 0.141)
Pd (0.000, 0.000, 0.000)
Pt (0.096, 0.096, 0.712)
Pt (0.904, 0.904, 0.288)



[10]
A plane-wave DFT calculation with PBE was carried out for an optimized crystal structure of BaBrO3.

The calculation puts the total energy at -4.628 eV/atom. Its density of states at the Fermi level is 1.3 states/eV/f.u. The uncorrected formation energy comes out at -451 kJ/mol of formula units.

Cell lengths 7.168, 4.871, 5.586 Å; angles 90.00, 90.00, 69.81 degrees
Atoms (fractional coordinates):
Ba (0.238, 0.628, 0.250)
Ba (0.762, 0.372, 0.750)
Br (0.668, 0.919, 0.250)
Br (0.332, 0.081, 0.750)
O (0.819, 0.844, 0.500)
O (0.181, 0.156, 0.500)
O (0.819, 0.844, 0.000)
O (0.181, 0.156, 0.000)
O (0.642, 0.440, 0.250)
O (0.358, 0.560, 0.750)



[11]
A plane-wave DFT calculation with PBE was carried out for an optimized crystal structure of Cs2BiB2O6.

The calculation puts the total energy at -6.280 eV/atom. Its density of states at the Fermi level is 2.9 states/eV/f.u. The uncorrected formation energy comes out at -1968 kJ/mol of formula units.

Cell lengths 5.537, 5.537, 7.992 Å; angles 69.73, 69.73, 60.00 degrees
Atoms (fractional coordinates):
Cs (0.787, 0.787, 0.639)
Cs (0.213, 0.213, 0.361)
Bi (0.000, 0.000, 0.000)
B (0.392, 0.392, 0.824)
B (0.608, 0.608, 0.176)
O (0.749, 0.749, 0.189)
O (0.313, 0.749, 0.189)
O (0.749, 0.313, 0.189)
O (0.251, 0.687, 0.811)
O (0.687, 0.251, 0.811)
O (0.251, 0.251, 0.811)



[12]
A plane-wave DFT calculation with PBE was carried out for an optimized crystal structure of KZr2Cu.

The value obtained for the formation energy from the elements is 1.84 eV per formula unit. The calculation puts the total energy at -5.114 eV/atom. Its density of states at the Fermi level is 5.1 states/eV/f.u. Its energy above the most stable polymorph in this dataset is 221 meV per atom.

Cell lengths 3.328, 3.204, 10.024 Å; angles 77.34, 90.00, 90.00 degrees
Last column: magnetic moment on the atom in μB.
Atoms (fractional coordinates):
Cu (0.500, 0.250, 0.250)  -0.13
K (0.500, 0.750, 0.750)  -0.03
Zr (0.000, 0.871, 0.090)  -0.49
Zr (0.000, 0.629, 0.410)  -0.49